Na2V2GaO6: optimized geometry, PBE+U.

Output
E_tot ... -6.367 eV/atom
Volume ... 11.4 A^3/atom

Cell and atoms, written as CIF:
```
data_Na2V2GaO6
_chemical_formula_sum 'Na2 V2 Ga1 O6'
_symmetry_space_group_name_H-M 'P 1'
_symmetry_Int_Tables_number 1
_cell_length_a 5.035
_cell_length_b 5.035
_cell_length_c 5.769
_cell_angle_alpha 97.52
_cell_angle_beta 97.52
_cell_angle_gamma 117.80
loop_
_symmetry_equiv_pos_as_xyz
'x,y,z'
loop_
_atom_site_label
_atom_site_fract_x
_atom_site_fract_y
_atom_site_fract_z
_atom_site_occupancy
Na1 0.174 0.826 0.000 1
Na2 0.826 0.174 0.000 1
V1 0.355 0.645 0.500 1
V2 0.645 0.355 0.500 1
Ga1 0.000 0.000 0.500 1
O1 0.061 0.397 0.683 1
O2 0.259 0.259 0.285 1
O3 0.397 0.061 0.683 1
O4 0.603 0.939 0.317 1
O5 0.741 0.741 0.715 1
O6 0.939 0.603 0.317 1
```